# ReClO, optimized geometry, DFT PBE
data_ReClO
_chemical_formula_sum 'Re2 Cl2 O2'
_symmetry_space_group_name_H-M 'P -1'
_symmetry_Int_Tables_number 2
_cell_length_a 2.896
_cell_length_b 5.899
_cell_length_c 6.966
_cell_angle_alpha 73.86
_cell_angle_beta 79.11
_cell_angle_gamma 75.80
loop_
_symmetry_equiv_pos_as_xyz
'x,y,z'
'-x,-y,-z'
loop_
_atom_site_label
_atom_site_type_symbol
_atom_site_fract_x
_atom_site_fract_y
_atom_site_fract_z
Re1 Re 0.164 0.189 0.481
Cl1 Cl 0.061 0.596 0.260
O1 O 0.209 0.890 0.712
# magnetization = 0.0 μB/f.u.
# raw formation energy = -663 meV per atom